DFT (PBE) results for a relaxed NbFeReTe2 crystal.

## Properties
**Raw formation energy**: 1433.9 meV/atom
**V**: 26.63 A^3/atom
**Spin magnetization**: 1.67 μB/cell
**E_tot**: -6.019 eV per atom

Cell and atoms, written as CIF:
```
data_NbFeReTe2
_chemical_formula_sum 'Nb1 Fe1 Re1 Te2'
_symmetry_space_group_name_H-M 'P 1'
_symmetry_Int_Tables_number 1
_cell_length_a 5.181
_cell_length_b 5.181
_cell_length_c 4.962
_cell_angle_alpha 90.00
_cell_angle_beta 90.00
_cell_angle_gamma 90.00
loop_
_symmetry_equiv_pos_as_xyz
'x,y,z'
loop_
_atom_site_label
_atom_site_type_symbol
_atom_site_fract_x
_atom_site_fract_y
_atom_site_fract_z
Nb1 Nb 0.000 0.000 0.000
Fe1 Fe 0.500 0.500 0.000
Re1 Re 0.000 0.000 0.500
Te1 Te 0.000 0.500 0.500
Te2 Te 0.500 0.000 0.500
```


DFT (PBE) results for a relaxed NbVFeRe crystal.

## Properties
**V**: 14.50 A^3/atom
**Spin magnetization**: 3.66 μB/cell
**E_tot**: -10.155 eV per atom
**Formation energy from the elements**: -0.52 eV per formula unit

Cell and atoms, written as CIF:
```
data_NbVFeRe
_chemical_formula_sum 'Nb4 V4 Fe4 Re4'
_symmetry_space_group_name_H-M 'P 1'
_symmetry_Int_Tables_number 1
_cell_length_a 6.145
_cell_length_b 6.145
_cell_length_c 6.145
_cell_angle_alpha 90.00
_cell_angle_beta 90.00
_cell_angle_gamma 90.00
loop_
_symmetry_equiv_pos_as_xyz
'x,y,z'
loop_
_atom_site_label
_atom_site_type_symbol
_atom_site_fract_x
_atom_site_fract_y
_atom_site_fract_z
Nb1 Nb 0.000 0.000 0.000
Nb2 Nb 0.000 0.500 0.500
Nb3 Nb 0.500 0.000 0.500
Nb4 Nb 0.500 0.500 0.000
V1 V 0.000 0.000 0.500
V2 V 0.000 0.500 0.000
V3 V 0.500 0.000 0.000
V4 V 0.500 0.500 0.500
Fe1 Fe 0.250 0.250 0.750
Fe2 Fe 0.250 0.750 0.250
Fe3 Fe 0.750 0.250 0.250
Fe4 Fe 0.750 0.750 0.750
Re1 Re 0.250 0.250 0.250
Re2 Re 0.250 0.750 0.750
Re3 Re 0.750 0.250 0.750
Re4 Re 0.750 0.750 0.250
```


Which of these has the highest V?
NbFeReTe2


Which of these has the highest V?
NbFeReTe2